No. 1
LaCu2Au: relaxed, PBE-GGA.

Lattice parameters (Å, degrees): 4.3452 4.3599 4.3599 90.00 90.00 90.00
Last column: nearest neighbours and their distance in Å.
Positions (direct):
Cu: 0.0000 0.0000 0.0000  4 La 3.08, 4 Au 3.08, 4 Cu 3.08
Cu: 0.0000 0.5000 0.5000  4 Au 3.08, 4 La 3.08, 4 Cu 3.08
Au: 0.5000 0.0000 0.5000  8 Cu 3.08, 4 La 3.08
La: 0.5000 0.5000 0.0000  8 Cu 3.08, 4 Au 3.08

uncorrected energy = -4.147 eV/atom
formation energy from the elements = -47 meV per atom



No. 2
LaCu2Au: relaxed, PBE-GGA.

Lattice parameters (Å, degrees): 4.4562 3.8214 5.1175 90.07 90.00 90.00
Last column: nearest neighbours and their distance in Å.
Positions (direct):
Cu: 0.0000 0.9997 0.0194  2 Cu 2.50, 2 Au 2.63
Cu: 0.5000 0.9995 0.2395  2 Cu 2.50, 2 Au 2.53-2.59
La: 0.0000 0.5001 0.4960  8 Cu 3.10-3.29, 4 Au 3.20
Au: 0.5000 0.0006 0.7450  4 Cu 2.53-2.63

uncorrected energy = -4.345 eV/atom
formation energy from the elements = -246 meV per atom



No. 3
La2Cu2Au: relaxed, PBE-GGA.

Lattice parameters (Å, degrees): 7.6269 7.6269 3.9803 90.00 90.00 90.00
Last column: nearest neighbours and their distance in Å.
Positions (direct):
La: 0.3181 0.1819 0.5000  6 Cu 2.96-3.06
Cu: 0.8845 0.6155 0.0000  1 Cu 2.49
La: 0.1819 0.6819 0.5000  6 Cu 2.96-3.06
Au: 0.5000 0.5000 0.0000  4 Cu 3.06
Cu: 0.1155 0.3845 0.0000  1 Cu 2.49
La: 0.8181 0.3181 0.5000  6 Cu 2.96-3.06
Cu: 0.6155 0.1155 0.0000  1 Cu 2.49
Cu: 0.3845 0.8845 0.0000  1 Cu 2.49
Au: 0.0000 0.0000 0.0000  4 Cu 3.06
La: 0.6819 0.8181 0.5000  6 Cu 2.96-3.06

uncorrected energy = -4.647 eV/atom
formation energy from the elements = -382 meV per atom
E above lowest polymorph = 21 meV/atom



No. 4
La2Cu5Au5: relaxed, PBE-GGA.

Lattice parameters (Å, degrees): 4.4265 5.3433 9.6041 90.00 90.00 90.00
Last column: nearest neighbours and their distance in Å.
Positions (direct):
Au: 0.0000 0.5000 0.6669  6 Cu 2.68-2.73
Au: 0.0000 0.0000 0.1815  4 Cu 2.69, 2 Au 2.82
La: 0.0000 0.0000 0.5000  6 Au 3.06-3.12
Au: 0.0000 0.5000 0.3331  6 Cu 2.68-2.73
Au: 0.0000 0.0000 0.8185  4 Cu 2.69, 2 Au 2.82
La: 0.0000 0.5000 0.0000  10 Au 3.19-3.47
Cu: 0.5000 0.7483 0.2590  3 Cu 2.65-2.69, 5 Au 2.68-2.83
Cu: 0.5000 0.7483 0.7410  3 Cu 2.65-2.69, 5 Au 2.68-2.83
Cu: 0.5000 0.2517 0.2590  3 Cu 2.65-2.69, 5 Au 2.68-2.83
Au: 0.5000 0.0000 0.0000  4 Au 2.82, 4 Cu 2.83
Cu: 0.5000 0.2517 0.7410  3 Cu 2.65-2.69, 5 Au 2.68-2.83
Cu: 0.5000 0.5000 0.5000  4 Cu 2.67, 4 Au 2.73

uncorrected energy = -4.274 eV/atom
formation energy from the elements = -380 meV per atom



No. 5
La4CuAu3: relaxed, PBE-GGA.

Lattice parameters (Å, degrees): 3.9971 4.8045 11.4642 90.00 90.00 90.00
Last column: nearest neighbours and their distance in Å.
Positions (direct):
Au: 0.5000 0.0000 0.9225  2 Cu 2.99, 7 La 3.15-3.27
Au: 0.0000 0.0000 0.4135  2 Au 3.12, 7 La 3.19-3.25
La: 0.5000 0.5000 0.3594  6 Au 3.19-3.29, 1 Cu 3.23
La: 0.0000 0.0000 0.1350  3 Au 3.15-3.19, 4 Cu 3.19
La: 0.0000 0.5000 0.8682  2 Cu 3.12, 5 Au 3.19-3.22
La: 0.5000 0.0000 0.6368  7 Au 3.18-3.27
Cu: 0.5000 0.5000 0.0776  2 Au 2.99, 7 La 3.12-3.23
Au: 0.0000 0.5000 0.5870  2 Au 3.12, 7 La 3.18-3.29

uncorrected energy = -4.858 eV/atom
formation energy from the elements = -654 meV per atom



No. 6
La2Cu2Au: relaxed, PBE-GGA.

Lattice parameters (Å, degrees): 5.6888 5.6888 5.5120 58.93 58.93 90.00
Last column: nearest neighbours and their distance in Å.
Positions (direct):
Cu: 0.6502 0.6502 0.6995  1 Cu 2.26
La: 0.2500 0.7500 0.5000  4 Cu 2.94
Au: 0.0000 0.0000 0.0000  2 Cu 2.64
La: 0.7500 0.2500 0.5000  4 Cu 2.94
Cu: 0.3498 0.3498 0.3005  1 Cu 2.26

uncorrected energy = -4.500 eV/atom
formation energy from the elements = -235 meV per atom
E above lowest polymorph = 168 meV/atom



No. 7
LaCuAu2: relaxed, PBE-GGA.

Lattice parameters (Å, degrees): 3.6125 3.6125 6.5158 90.00 90.00 90.00
Last column: nearest neighbours and their distance in Å.
Positions (direct):
La: 0.5000 0.5000 0.7504  6 Au 3.08-3.43, 4 Cu 3.25
Au: 0.5000 0.5000 0.2771  4 Cu 2.77, 4 Au 3.02, 1 La 3.08
Cu: 0.0000 0.0000 0.4413  5 Au 2.67-2.77
Au: 0.0000 0.0000 0.0313  1 Cu 2.67

uncorrected energy = -4.251 eV/atom
formation energy from the elements = -356 meV per atom



No. 8
La7Cu2Au2: relaxed, PBE-GGA.

Lattice parameters (Å, degrees): 6.9726 7.3287 6.9726 90.00 110.90 90.00
Last column: nearest neighbours and their distance in Å.
Positions (direct):
Au: 0.1769 0.5000 0.1769  1 Au 2.80
La: 0.4997 0.2816 0.0002  2 Cu 2.90, 1 La 3.20
La: 0.4998 0.2520 0.5002  2 Cu 3.03, 2 Au 3.14
Cu: 0.7090 0.0000 0.2910  6 La 2.90-3.03
La: 0.9998 0.2816 0.5003  2 Cu 2.90, 1 La 3.20
La: 0.0000 0.0000 0.0000  2 Cu 3.34
La: 0.5002 0.7480 0.4998  2 Cu 3.03, 2 Au 3.14
Cu: 0.2910 0.0000 0.7090  6 La 2.90-3.03
La: 0.5003 0.7184 0.9998  2 Cu 2.90, 1 La 3.20
La: 0.0002 0.7184 0.4997  2 Cu 2.90, 1 La 3.20
Au: 0.8231 0.5000 0.8231  1 Au 2.80

uncorrected energy = -4.638 eV/atom
formation energy from the elements = -161 meV per atom



No. 9
LaCu2Au: relaxed, PBE-GGA.

Lattice parameters (Å, degrees): 3.4195 3.4195 6.6406 90.00 90.00 90.00
Last column: nearest neighbours and their distance in Å.
Positions (direct):
Cu: 0.5000 0.5000 0.1884  1 Au 2.57, 4 Cu 2.67
Au: 0.5000 0.5000 0.8013  5 Cu 2.57-2.82
Cu: 0.0000 0.0000 0.0194  4 Cu 2.67, 4 Au 2.82
La: 0.0000 0.0000 0.4909  5 Cu 3.13-3.14, 4 Au 3.18, 4 La 3.42

uncorrected energy = -4.294 eV/atom
formation energy from the elements = -195 meV per atom



No. 10
La6Cu2Au: relaxed, PBE-GGA.

Lattice parameters (Å, degrees): 8.8467 8.8467 8.8467 107.51 109.41 111.52
Last column: nearest neighbours and their distance in Å.
Positions (direct):
La: 0.0993 0.2721 0.8272  3 Cu 3.14-3.28, 1 Au 3.23
La: 0.3047 0.9759 0.6712  3 Cu 2.93-3.04
La: 0.6953 0.3664 0.6712  3 Cu 2.93-3.04
La: 0.8153 0.2515 0.0668  2 Cu 3.14-3.49, 2 Au 3.21-3.24
La: 0.5551 0.7279 0.8272  3 Cu 3.14-3.28, 1 Au 3.23
Cu: 0.5000 0.6196 0.1196  1 Cu 2.50
La: 0.3047 0.6336 0.3288  3 Cu 2.93-3.04
La: 0.6953 0.0241 0.3288  3 Cu 2.93-3.04
La: 0.9007 0.7279 0.1728  3 Cu 3.14-3.28, 1 Au 3.23
La: 0.1847 0.7485 0.9332  2 Cu 3.14-3.49, 2 Au 3.21-3.24
La: 0.8153 0.7485 0.5638  2 Cu 3.14-3.49, 2 Au 3.21-3.24
La: 0.4449 0.2721 0.1728  3 Cu 3.14-3.28, 1 Au 3.23
Cu: 0.3533 0.0000 0.3533  1 Cu 3.00, 8 La 3.04-3.28
Cu: 0.5000 0.3804 0.8804  1 Cu 2.50
La: 0.1847 0.2515 0.4362  2 Cu 3.14-3.49, 2 Au 3.21-3.24
Au: 0.0000 0.0000 0.0000  8 La 3.23-3.24, 2 Cu 3.61
Cu: 0.6467 0.0000 0.6467  1 Cu 3.00, 8 La 3.04-3.28
Au: 0.0000 0.5000 0.5000  8 La 3.21-3.52

uncorrected energy = -4.787 eV/atom
formation energy from the elements = -227 meV per atom



No. 11
La6CuAu2: relaxed, PBE-GGA.

Lattice parameters (Å, degrees): 6.6732 7.9298 10.6403 90.00 92.22 90.00
Last column: nearest neighbours and their distance in Å.
Positions (direct):
Au: 0.5792 0.8892 0.7285  6 La 3.10-3.20
Cu: 0.0000 0.0000 0.5000  6 La 2.93-2.95
Au: 0.0792 0.6108 0.2285  6 La 3.10-3.20
La: 0.1523 0.0458 0.7596  1 Cu 2.93, 2 Au 3.14
La: 0.8477 0.9542 0.2404  1 Cu 2.93, 2 Au 3.14
La: 0.1532 0.2947 0.0651  1 Cu 2.93, 2 Au 3.10-3.14
La: 0.3477 0.5458 0.7404  1 Cu 2.93, 2 Au 3.14
La: 0.3418 0.8397 0.0523  1 Cu 2.95, 2 Au 3.18-3.20
Au: 0.9208 0.3892 0.7715  6 La 3.10-3.20
La: 0.6582 0.1603 0.9477  1 Cu 2.95, 2 Au 3.18-3.20
Au: 0.4208 0.1108 0.2715  6 La 3.10-3.20
La: 0.8418 0.6603 0.5523  1 Cu 2.95, 2 Au 3.18-3.20
La: 0.6532 0.2053 0.5651  1 Cu 2.93, 2 Au 3.10-3.14
La: 0.6523 0.4542 0.2596  1 Cu 2.93, 2 Au 3.14
La: 0.8468 0.7053 0.9349  1 Cu 2.93, 2 Au 3.10-3.14
La: 0.3468 0.7947 0.4349  1 Cu 2.93, 2 Au 3.10-3.14
Cu: 0.5000 0.5000 0.0000  6 La 2.93-2.95
La: 0.1582 0.3397 0.4477  1 Cu 2.95, 2 Au 3.18-3.20

uncorrected energy = -4.814 eV/atom
formation energy from the elements = -346 meV per atom



No. 12
LaCu2Au: relaxed, PBE-GGA.

Lattice parameters (Å, degrees): 4.3915 4.3915 5.5525 66.84 66.84 59.92
Last column: nearest neighbours and their distance in Å.
Positions (direct):
Cu: 0.7020 0.7020 0.8944  3 Cu 2.55, 3 Au 2.81
La: 0.4945 0.4945 0.5160  7 Cu 3.08-3.33, 4 Au 3.08-3.15
Au: 0.2871 0.2871 0.1390  6 Cu 2.70-2.81
Cu: 0.0165 0.0165 0.9506  3 Cu 2.55, 3 Au 2.70

uncorrected energy = -4.456 eV/atom
formation energy from the elements = -356 meV per atom



> What is the formula in the twelfth record?

LaCu2Au



> Which value of uncorrected energy does entry 11 give?

-4.814 eV/atom



Please write out number 5 again, unchanged.
La4CuAu3: relaxed, PBE-GGA.

Lattice parameters (Å, degrees): 3.9971 4.8045 11.4642 90.00 90.00 90.00
Last column: nearest neighbours and their distance in Å.
Positions (direct):
Au: 0.5000 0.0000 0.9225  2 Cu 2.99, 7 La 3.15-3.27
Au: 0.0000 0.0000 0.4135  2 Au 3.12, 7 La 3.19-3.25
La: 0.5000 0.5000 0.3594  6 Au 3.19-3.29, 1 Cu 3.23
La: 0.0000 0.0000 0.1350  3 Au 3.15-3.19, 4 Cu 3.19
La: 0.0000 0.5000 0.8682  2 Cu 3.12, 5 Au 3.19-3.22
La: 0.5000 0.0000 0.6368  7 Au 3.18-3.27
Cu: 0.5000 0.5000 0.0776  2 Au 2.99, 7 La 3.12-3.23
Au: 0.0000 0.5000 0.5870  2 Au 3.12, 7 La 3.18-3.29

uncorrected energy = -4.858 eV/atom
formation energy from the elements = -654 meV per atom



> Among the records above, which one has the lowest uncorrected energy?

La4CuAu3